Record 1
First-principles (GGA-PBEsol) data for crystalline TaTcPt at its relaxed geometry, as listed in the Alexandria database.

Cell lengths 4.9157, 4.9157, 4.9157 Å; angles 148.14, 131.95, 58.82 degrees
Last column: nearest neighbours and their distance in Å.
Element x y z (fractional)
1 Ta 0.0000 0.0000 0.0000  2 Ta 2.70, 5 Tc 2.80-2.87, 5 Pt 2.81-2.83
2 Tc 0.6653 0.6653 0.0000  2 Tc 2.70, 5 Pt 2.79-2.89, 5 Ta 2.80-2.87
3 Pt 0.3278 0.3278 0.0000  2 Pt 2.70, 5 Tc 2.79-2.89, 5 Ta 2.81-2.83

Energy of formation from the pure elements: -0.24 eV per atom
ΔE to the lowest computed polymorph: 0 meV per atom

=====

Record 2
First-principles (GGA-PBEsol) data for crystalline K3NbBi at its relaxed geometry, as listed in the Alexandria database.

Cell lengths 6.6226, 6.6226, 6.6226 Å; angles 90.00, 90.00, 90.00 degrees
Last column: nearest neighbours and their distance in Å.
Element x y z (fractional)
1 K 0.0000 0.0000 0.5000  2 Bi 3.31
2 K 0.0000 0.5000 0.0000  2 Bi 3.31
3 K 0.5000 0.0000 0.0000  2 Bi 3.31
4 Nb 0.5000 0.5000 0.5000  12 K 4.68
5 Bi 0.0000 0.0000 0.0000  6 K 3.31

Energy of formation from the pure elements: 1.14 eV per atom

=====

Record 3
First-principles (GGA-PBEsol) data for crystalline TaAl2AuS at its relaxed geometry, as listed in the Alexandria database.

Cell lengths 5.1093, 5.1093, 4.8860 Å; angles 90.00, 90.00, 90.00 degrees
Last column: nearest neighbours and their distance in Å.
Element x y z (fractional)
1 Ta 0.0000 0.0000 0.0000  2 Au 2.44, 4 Al 2.55
2 Al 0.0000 0.5000 0.0000  2 Ta 2.55
3 Al 0.5000 0.0000 0.0000  2 Ta 2.55
4 Au 0.0000 0.0000 0.5000  2 Ta 2.44
5 S 0.5000 0.5000 0.5000  8 Al 3.53, 4 Au 3.61

Formation energy from raw total energies: 122.3 kJ/mol of atoms

=====

Record 4
First-principles (GGA-PBEsol) data for crystalline FeSiAs2 at its relaxed geometry, as listed in the Alexandria database.

Cell lengths 4.3477, 4.3477, 4.0810 Å; angles 107.31, 107.31, 106.76 degrees
Last column: nearest neighbours and their distance in Å.
Element x y z (fractional)
1 Fe 0.0000 0.0000 0.0000  4 As 2.50, 2 Si 2.59
2 Si 0.5000 0.5000 0.0000  4 As 2.50, 2 Fe 2.59
3 As 0.0000 0.5000 0.5000  2 Fe 2.50, 2 Si 2.50, 2 As 2.59
4 As 0.5000 0.0000 0.5000  2 Fe 2.50, 2 Si 2.50, 2 As 2.59

Formation energy from raw total energies: 28.5 kJ/mol of atoms

=====

Record 5
First-principles (GGA-PBEsol) data for crystalline Be2AlRh at its relaxed geometry, as listed in the Alexandria database.

Cell lengths 3.9848, 3.9848, 3.9848 Å; angles 60.00, 60.00, 60.00 degrees
Last column: nearest neighbours and their distance in Å.
Element x y z (fractional)
1 Be 0.0000 0.0000 0.0000  4 Be 2.44, 4 Rh 2.44
2 Be 0.2500 0.2500 0.2500  4 Be 2.44, 4 Al 2.44
3 Al 0.5000 0.5000 0.5000  4 Be 2.44, 4 Rh 2.44
4 Rh 0.7500 0.7500 0.7500  4 Be 2.44, 4 Al 2.44

Energy of formation from the pure elements: -0.34 eV per atom

=====

Record 6
First-principles (GGA-PBEsol) data for crystalline YTlRh2 at its relaxed geometry, as listed in the Alexandria database.

Cell lengths 4.4269, 4.4269, 3.6156 Å; angles 90.00, 90.00, 90.00 degrees
Last column: nearest neighbours and their distance in Å.
Element x y z (fractional)
1 Y 0.0000 0.0000 0.0000  8 Rh 2.86, 4 Tl 3.13
2 Tl 0.5000 0.5000 0.0000  8 Rh 2.86, 4 Y 3.13
3 Rh 0.0000 0.5000 0.5000  4 Tl 2.86, 4 Y 2.86, 4 Rh 3.13
4 Rh 0.5000 0.0000 0.5000  4 Tl 2.86, 4 Y 2.86, 4 Rh 3.13

Energy of formation from the pure elements: -0.55 eV per atom

=====

Record 7
First-principles (GGA-PBEsol) data for crystalline LiTa2Ag at its relaxed geometry, as listed in the Alexandria database.

Cell lengths 4.5512, 4.5512, 4.5512 Å; angles 60.00, 60.00, 60.00 degrees
Last column: nearest neighbours and their distance in Å.
Element x y z (fractional)
1 Li 0.0000 0.0000 0.0000  4 Ta 2.79, 4 Ag 2.79
2 Ta 0.5000 0.5000 0.5000  4 Ag 2.79, 4 Ta 2.79
3 Ta 0.7500 0.7500 0.7500  4 Ta 2.79, 4 Li 2.79
4 Ag 0.2500 0.2500 0.2500  4 Ta 2.79, 4 Li 2.79

Energy of formation from the pure elements: 0.62 eV per atom
ΔE to the lowest computed polymorph: 290 meV per atom

=====

Record 8
First-principles (GGA-PBEsol) data for crystalline CaMg2Pt at its relaxed geometry, as listed in the Alexandria database.

Cell lengths 6.0061, 6.0061, 3.0548 Å; angles 103.10, 103.10, 121.88 degrees
Last column: nearest neighbours and their distance in Å.
Element x y z (fractional)
1 Ca 0.0000 0.0000 0.0000  4 Pt 2.92-3.09, 4 Mg 3.04, 2 Ca 3.05
2 Mg 0.0000 0.5000 0.5000  6 Mg 2.92-3.09, 2 Ca 3.04, 2 Pt 3.04
3 Mg 0.5000 0.0000 0.5000  6 Mg 2.92-3.09, 2 Ca 3.04, 2 Pt 3.04
4 Pt 0.5000 0.5000 0.0000  4 Ca 2.92-3.09, 4 Mg 3.04, 2 Pt 3.05

Energy of formation from the pure elements: -0.20 eV per atom

=====

Record 9
First-principles (GGA-PBEsol) data for crystalline BeCl2 at its relaxed geometry, as listed in the Alexandria database.

Cell lengths 11.2894, 11.2894, 8.2241 Å; angles 90.00, 90.00, 120.00 degrees
Last column: nearest neighbours and their distance in Å.
Element x y z (fractional)
1 Be 0.0000 0.4062 0.3333  4 Cl 2.02
2 Be 0.2617 0.7056 0.4707  4 Cl 2.02-2.04
3 Be 0.2944 0.5560 0.1374  4 Cl 2.02-2.04
4 Be 0.4062 0.0000 0.6667  4 Cl 2.02
5 Be 0.4440 0.7383 0.8041  4 Cl 2.02-2.04
6 Be 0.5560 0.2944 0.8626  4 Cl 2.02-2.04
7 Be 0.5938 0.5938 0.0000  4 Cl 2.02
8 Be 0.7056 0.2617 0.5293  4 Cl 2.02-2.04
9 Be 0.7383 0.4440 0.1959  4 Cl 2.02-2.04
10 Cl 0.0805 0.5372 0.5229  2 Be 2.02
11 Cl 0.1435 0.3749 0.2274  2 Be 2.02-2.04
12 Cl 0.2313 0.8565 0.5607  2 Be 2.02-2.04
13 Cl 0.2776 0.5696 0.8947  2 Be 2.02-2.03
14 Cl 0.2920 0.7224 0.2281  2 Be 2.02-2.03
15 Cl 0.3749 0.1435 0.7726  2 Be 2.02-2.04
16 Cl 0.4304 0.7080 0.5614  2 Be 2.02-2.03
17 Cl 0.4567 0.9195 0.8562  2 Be 2.02
18 Cl 0.4628 0.5433 0.1895  2 Be 2.02
19 Cl 0.5372 0.0805 0.4771  2 Be 2.02
20 Cl 0.5433 0.4628 0.8105  2 Be 2.02
21 Cl 0.5696 0.2776 0.1053  2 Be 2.02-2.03
22 Cl 0.6251 0.7687 0.8941  2 Be 2.02-2.04
23 Cl 0.7080 0.4304 0.4386  2 Be 2.02-2.03
24 Cl 0.7224 0.2920 0.7719  2 Be 2.02-2.03
25 Cl 0.7687 0.6251 0.1059  2 Be 2.02-2.04
26 Cl 0.8565 0.2313 0.4393  2 Be 2.02-2.04
27 Cl 0.9195 0.4567 0.1438  2 Be 2.02

Formation energy from raw total energies: -135.3 kJ/mol of atoms
ΔE to the lowest computed polymorph: 12 meV per atom

=====

Record 10
First-principles (GGA-PBEsol) data for crystalline SmYO3 at its relaxed geometry, as listed in the Alexandria database.

Cell lengths 5.9295, 5.7900, 8.3619 Å; angles 90.00, 90.00, 90.00 degrees
Last column: nearest neighbours and their distance in Å.
Element x y z (fractional)
1 Sm 0.0392 0.0061 0.0000  6 O 2.28-2.53
2 Sm 0.4608 0.5061 0.5000  6 O 2.28-2.53
3 Sm 0.5392 0.4939 0.0000  6 O 2.28-2.53
4 Sm 0.9608 0.9939 0.5000  6 O 2.28-2.53
5 Y 0.0177 0.5006 0.2660  6 O 2.22-2.32
6 Y 0.4823 0.0006 0.7660  6 O 2.22-2.32
7 Y 0.5177 0.9994 0.2660  6 O 2.22-2.32
8 Y 0.9823 0.4994 0.7660  6 O 2.22-2.32
9 O 0.0811 0.3670 0.5238  2 Y 2.24-2.32, 2 Sm 2.28-2.40
10 O 0.1310 0.8469 0.7255  2 Y 2.22-2.29, 1 Sm 2.30
11 O 0.2312 0.7938 0.3637  2 Y 2.23-2.27, 2 Sm 2.28-2.43
12 O 0.2688 0.2938 0.8637  2 Y 2.23-2.27, 2 Sm 2.28-2.43
13 O 0.3690 0.3469 0.2255  2 Y 2.22-2.29, 1 Sm 2.30
14 O 0.4189 0.8670 0.0238  2 Y 2.24-2.32, 2 Sm 2.28-2.40
15 O 0.5811 0.1330 0.5238  2 Y 2.24-2.32, 2 Sm 2.28-2.40
16 O 0.6310 0.6531 0.7255  2 Y 2.22-2.29, 1 Sm 2.30
17 O 0.7312 0.7062 0.3637  2 Y 2.23-2.27, 2 Sm 2.28-2.43
18 O 0.7688 0.2062 0.8637  2 Y 2.23-2.27, 2 Sm 2.28-2.43
19 O 0.8690 0.1531 0.2255  2 Y 2.22-2.29, 1 Sm 2.30
20 O 0.9189 0.6330 0.0238  2 Y 2.24-2.32, 2 Sm 2.28-2.40

Formation energy from raw total energies: -337.5 kJ/mol of atoms

=====

Record 11
First-principles (GGA-PBEsol) data for crystalline LiTa2Al at its relaxed geometry, as listed in the Alexandria database.

Cell lengths 5.4039, 5.4039, 5.4039 Å; angles 145.42, 132.65, 59.94 degrees
Last column: nearest neighbours and their distance in Å.
Element x y z (fractional)
1 Li 0.0000 0.0000 0.0000  4 Al 2.70, 4 Ta 2.84
2 Ta 0.2505 0.7505 0.5000  4 Ta 2.70, 2 Al 2.83, 2 Li 2.84
3 Ta 0.7495 0.2495 0.5000  4 Ta 2.70, 2 Al 2.83, 2 Li 2.84
4 Al 0.5000 0.5000 0.0000  4 Li 2.70, 4 Ta 2.83

Energy of formation from the pure elements: 0.15 eV per atom
ΔE to the lowest computed polymorph: 28 meV per atom

=====

no.,E_tot (eV per atom),calculated density (g cm⁻³),total moment (μB per cell)
1,-10.504,17.02,0.00
2,-2.560,2.40,4.91
3,-4.541,6.04,0.11
4,-5.936,6.06,2.12
5,-5.402,5.49,0.00
6,-6.986,11.70,0.00
7,-6.974,11.88,0.00
8,-3.331,5.69,0.00
9,-4.075,1.32,0.00
10,-9.031,6.65,0.00
11,-7.642,10.07,0.00